Run A
This record from the Alexandria database describes crystalline Sc3TcOs at its relaxed geometry. The functional is PBE-GGA.

Cell: 4.940 4.940 4.940 Å, 90.00 90.00 90.00°
Site moments in Bohr magnetons follow the coordinates.
Fractional coordinates of all 5 atoms:
Sc1 0.000 0.500 0.000  -0.10
Sc2 0.000 0.000 0.500  -0.08
Sc3 0.500 0.000 0.000  -0.18
Os1 0.000 0.000 0.000  0.11
Tc1 0.500 0.500 0.500  2.37

Summary:
* symmetry: Pm-3m

Run B
This record from the Alexandria database describes crystalline Sc3TcOs at its relaxed geometry. The functional is PBE-GGA.

Cell: 4.760 4.760 4.760 Å, 90.00 90.00 90.00°
Fractional coordinates of all 5 atoms:
Sc1 0.000 0.500 0.000
Sc2 0.000 0.000 0.500
Sc3 0.500 0.000 0.000
Os1 0.500 0.500 0.500
Tc1 0.000 0.000 0.000

Summary:
* symmetry: Pm-3m

Which of them is most stable, and which least? Most stable: run A; least stable: run B.

Run A
This record from the Alexandria database describes crystalline ScTcOs3 at its relaxed geometry. The functional is PBE-GGA.

Cell: 4.663 4.663 4.663 Å, 90.00 90.00 90.00°
Fractional coordinates of all 5 atoms:
Sc1 0.500 0.500 0.500
Os1 0.000 0.500 0.000
Os2 0.000 0.000 0.500
Os3 0.500 0.000 0.000
Tc1 0.000 0.000 0.000

Summary:
* symmetry: Pm-3m

Run B
This record from the Alexandria database describes crystalline ScTcOs3 at its relaxed geometry. The functional is PBE-GGA.

Cell: 4.518 4.518 4.518 Å, 90.00 90.00 90.00°
Fractional coordinates of all 5 atoms:
Sc1 0.000 0.000 0.000
Os1 0.000 0.500 0.000
Os2 0.000 0.000 0.500
Os3 0.500 0.000 0.000
Tc1 0.500 0.500 0.500

Summary:
* symmetry: Pm-3m

Which of them is most stable, and which least? Most stable: run A; least stable: run B.

Run A
This record from the Alexandria database describes crystalline ScUTcOs at its relaxed geometry. The functional is PBE-GGA.

Cell: 3.358 3.358 6.496 Å, 90.00 90.00 90.00°
Fractional coordinates of all 4 atoms:
Sc1 0.500 0.500 0.110
U1 0.500 0.500 0.609
Tc1 0.000 0.000 0.835
Os1 0.000 0.000 0.375

Summary:
* symmetry: P4mm

Run B
This record from the Alexandria database describes crystalline ScUTcOs at its relaxed geometry. The functional is PBE-GGA.

Cell: 4.686 4.686 4.686 Å, 60.00 60.00 60.00°
Site moments in Bohr magnetons follow the coordinates.
Fractional coordinates of all 4 atoms:
Sc1 0.000 0.000 0.000  0.04
Os1 0.750 0.750 0.750  -0.07
U1 0.500 0.500 0.500  1.34
Tc1 0.250 0.250 0.250  -0.10

Summary:
* symmetry: F-43m

Which of them is most stable, and which least? Most stable: run A; least stable: run B.

Run A
This record from the Alexandria database describes crystalline ScTe2Os at its relaxed geometry. The functional is PBE-GGA.

Cell: 4.964 4.964 4.964 Å, 60.00 60.00 60.00°
Site moments in Bohr magnetons follow the coordinates.
Fractional coordinates of all 4 atoms:
Os1 0.500 0.500 0.500  0.82
Sc1 0.250 0.250 0.250  0.03
Te1 0.000 0.000 0.000  0.09
Te2 0.750 0.750 0.750  0.02

Summary:
* symmetry: F-43m

Run B
This record from the Alexandria database describes crystalline ScTe2Os at its relaxed geometry. The functional is PBE-GGA.

Cell: 4.842 4.843 3.400 Å, 90.00 90.00 90.00°
Fractional coordinates of all 4 atoms:
Os1 0.500 0.000 0.500
Sc1 0.000 0.500 0.500
Te1 0.000 0.000 0.000
Te2 0.500 0.500 0.000

Summary:
* symmetry: P4/mmm

Which of them is most stable, and which least? Most stable: run B; least stable: run A.

Run A
This record from the Alexandria database describes crystalline ScTe2Os at its relaxed geometry. The functional is PBE-GGA.

Cell: 8.962 8.962 8.962 Å, 21.76 21.76 21.76°
Fractional coordinates of all 4 atoms:
Os1 0.250 0.250 0.250
Sc1 0.750 0.750 0.750
Te1 0.991 0.991 0.991
Te2 0.509 0.509 0.509

Summary:
* symmetry: R-3m

Run B
This record from the Alexandria database describes crystalline ScTe2Os at its relaxed geometry. The functional is PBE-GGA.

Cell: 5.237 5.237 8.697 Å, 72.48 72.48 90.00°
Fractional coordinates of all 8 atoms:
Sc1 0.500 0.500 0.000
Sc2 0.250 0.750 0.500
Te1 0.663 0.125 0.250
Te2 0.087 0.625 0.250
Te3 0.375 0.337 0.750
Te4 0.875 0.913 0.750
Os1 0.000 0.000 0.000
Os2 0.750 0.250 0.500

Summary:
* symmetry: I-42d

Run C
This record from the Alexandria database describes crystalline ScTe2Os at its relaxed geometry. The functional is PBE-GGA.

Cell: 4.566 5.375 4.533 Å, 69.38 80.58 110.84°
Fractional coordinates of all 4 atoms:
Os1 0.000 0.500 0.500
Sc1 0.500 0.500 0.000
Te1 0.000 0.000 0.000
Te2 0.500 0.000 0.500

Summary:
* symmetry: C2/m

Which of them is most stable, and which least? Most stable: run B; least stable: run A.

Run A
This record from the Alexandria database describes crystalline ScTe2Os at its relaxed geometry. The functional is PBE-GGA.

Cell: 7.365 7.365 7.365 Å, 154.55 146.11 42.86°
Fractional coordinates of all 4 atoms:
Os1 0.493 0.493 0.000
Sc1 0.327 0.827 0.500
Te1 0.971 0.971 0.000
Te2 0.709 0.209 0.500

Summary:
* symmetry: Imm2

Run B
This record from the Alexandria database describes crystalline ScTe2Os at its relaxed geometry. The functional is PBE-GGA.

Cell: 4.237 4.237 5.861 Å, 90.01 90.01 60.00°
Fractional coordinates of all 4 atoms:
Os1 0.625 0.625 0.500
Sc1 0.625 0.625 0.000
Te1 0.958 0.958 0.710
Te2 0.292 0.292 0.290

Summary:
* symmetry: P-3m1

Which of them is most stable, and which least? Most stable: run B; least stable: run A.

Run A
This record from the Alexandria database describes crystalline ScTe2Os at its relaxed geometry. The functional is PBE-GGA.

Cell: 8.986 8.986 8.986 Å, 24.82 24.82 24.82°
Fractional coordinates of all 4 atoms:
Sc1 0.000 0.000 0.000
Te1 0.889 0.889 0.889
Te2 0.111 0.111 0.111
Os1 0.500 0.500 0.500

Summary:
* symmetry: R-3m

Run B
This record from the Alexandria database describes crystalline ScTe2Os at its relaxed geometry. The functional is PBE-GGA.

Cell: 3.202 3.202 9.292 Å, 90.00 90.00 89.99°
Fractional coordinates of all 4 atoms:
Os1 0.000 0.000 0.509
Sc1 0.500 0.500 0.709
Te1 0.000 0.000 0.942
Te2 0.500 0.500 0.340

Summary:
* symmetry: P4mm

Which of them is most stable, and which least? Most stable: run B; least stable: run A.

Run A
This record from the Alexandria database describes crystalline ScTe2Os at its relaxed geometry. The functional is PBE-GGA.

Cell: 3.609 3.609 7.470 Å, 90.00 90.00 90.00°
Site moments in Bohr magnetons follow the coordinates.
Fractional coordinates of all 4 atoms:
Os1 0.000 0.000 0.516  0.87
Sc1 0.500 0.500 0.733  0.01
Te1 0.000 0.000 0.904  0.00
Te2 0.500 0.500 0.346  0.03

Summary:
* symmetry: P4mm

Run B
This record from the Alexandria database describes crystalline ScTe2Os at its relaxed geometry. The functional is PBE-GGA.

Cell: 3.988 3.992 6.957 Å, 90.00 90.00 90.00°
Fractional coordinates of all 4 atoms:
Os1 0.000 0.375 0.625
Sc1 0.500 0.875 0.625
Te1 0.000 0.875 0.904
Te2 0.500 0.375 0.346

Summary:
* symmetry: P-4m2

Which of them is most stable, and which least? Most stable: run B; least stable: run A.